Entry 1:
NaMg2PdCl | PBEsol | optimized geometry

Summary:
The density of states at the Fermi level is 0.389 states/eV per atom. Its symmetry is P4/mmm. The calculation puts the final energy at -2.626 eV/atom. The value obtained for the total magnetization is 0.00 μB/cell.

Cell: 4.881 4.881 4.693 Å, 90.00 90.00 90.00°
Fractional positions:
Na 0.000 0.000 0.000
Mg 0.000 0.500 0.500
Mg 0.500 0.000 0.500
Pd 0.500 0.500 0.000
Cl 0.000 0.000 0.500

***

Entry 2:
SrRu2Cl | PBEsol | optimized geometry

Summary:
The density of states at the Fermi level is 1.168 states/eV per atom. For the energy above the most stable polymorph in this dataset, the calculation gives 359.4 meV/atom. Its symmetry is Imm2. The value obtained for the total magnetization is 0.00 μB/cell.

Cell: 5.286 5.286 5.286 Å, 138.97 114.93 79.87°
Fractional positions:
Sr 0.000 0.000 0.000
Ru 0.338 0.838 0.500
Ru 0.506 0.506 0.000
Cl 0.715 0.215 0.500

***

Entry 3:
Fe2CuP | PBEsol | optimized geometry

Summary:
The density of states at the Fermi level is 0.794 states/eV per atom. Its symmetry is P4/mmm. As for the formation energy: -0.07 eV per atom. The value obtained for the total magnetization is 1.76 μB/cell.

Cell: 3.873 3.873 2.749 Å, 90.00 90.00 90.00°
Fractional positions:
Fe 0.000 0.500 0.000
Fe 0.500 0.000 0.000
Cu 0.000 0.000 0.500
P 0.500 0.500 0.500

***

Entry 4:
V6O13 | PBEsol | optimized geometry

Summary:
The density of states at the Fermi level is 0.406 states/eV per atom. For the energy above the most stable polymorph in this dataset, the calculation gives 0.0 meV/atom. Its symmetry is C2/m. The value obtained for the total magnetization is 3.75 μB/cell.

Cell: 6.177 6.177 10.041 Å, 100.23 100.23 34.53°
Fractional positions:
V 0.089 0.089 0.135
V 0.148 0.148 0.497
V 0.210 0.210 0.863
V 0.790 0.790 0.137
V 0.852 0.852 0.503
V 0.911 0.911 0.865
O 0.000 0.000 0.500
O 0.065 0.065 0.909
O 0.115 0.115 0.304
O 0.177 0.177 0.697
O 0.254 0.254 0.095
O 0.321 0.321 0.499
O 0.380 0.380 0.886
O 0.620 0.620 0.114
O 0.679 0.679 0.501
O 0.746 0.746 0.905
O 0.823 0.823 0.303
O 0.885 0.885 0.696
O 0.935 0.935 0.091

***

Entry 5:
LaZrFe2 | PBEsol | optimized geometry

Summary:
The density of states at the Fermi level is 0.956 states/eV per atom. Its symmetry is F-43m. As for the formation energy: 0.34 eV per atom. The value obtained for the total magnetization is 3.50 μB/cell.

Cell: 4.573 4.573 4.573 Å, 60.00 60.00 60.00°
Fractional positions:
La 0.000 0.000 0.000
Zr 0.250 0.250 0.250
Fe 0.500 0.500 0.500
Fe 0.750 0.750 0.750

***

Entry 6:
ZrCu2Ni | PBEsol | optimized geometry

Summary:
The density of states at the Fermi level is 0.464 states/eV per atom. Its symmetry is Cmmm. As for the formation energy: 0.07 eV per atom. The value obtained for the total magnetization is 0.00 μB/cell.

Cell: 4.629 4.629 2.800 Å, 90.00 90.00 113.85°
Fractional positions:
Zr 0.000 0.000 0.000
Cu 0.000 0.500 0.500
Cu 0.500 0.000 0.500
Ni 0.500 0.500 0.000